Entry 1:
This record from Alexandria describes a relaxed structure of YSbRh2. The functional is PBE-GGA.

Summary:
**Energy**: -6.91 eV/atom

abc: 3.746 3.746 5.587
angles: 90.00 90.00 90.00
Space group P4mm (No. 99)
Inequivalent atoms, fractional coordinates:
Y: 0.000 0.000 0.000 [1 per cell]
Sb: 0.500 0.500 0.652 [1 per cell]
Rh: 0.000 0.000 0.500 [1 per cell]
Rh: 0.500 0.500 0.176 [1 per cell]

Entry 2:
This record from Alexandria describes a relaxed structure of Li2CoSb. The functional is PBE-GGA.

Summary:
**Energy**: -3.47 eV/atom

abc: 3.0279 3.0279 26.6965
angles: 90.00 90.00 120.00
Space group R-3m (No. 166, hexagonal axes)
Inequivalent atoms, fractional coordinates:
Li: 0.0000 0.0000 0.2449 [6 per cell]
Co: 0.0000 0.0000 0.5000 [3 per cell]
Sb: 0.0000 0.0000 0.0000 [3 per cell]

Entry 3:
This record from Alexandria describes a relaxed structure of Cr2FeCu. The functional is PBE-GGA.

Summary:
**Energy above the lowest structure with this stoichiometry**: 33 kJ/mol of formula units
**Energy relative to the elements**: 0.887 eV/f.u.

abc: 2.404 2.404 8.087
angles: 90.00 90.00 90.00
Space group P4mm (No. 99)
Inequivalent atoms, fractional coordinates:
Cr: 0.000 0.000 0.000 [1 per cell]
Cr: 0.500 0.500 0.258 [1 per cell]
Fe: 0.500 0.500 0.754 [1 per cell]
Cu: 0.000 0.000 0.509 [1 per cell]